1.
## SrCa2GeRh (PBE-GGA)

Data for a relaxed structure of SrCa2GeRh.

```
SrCa2GeRh
1.0
5.511 0.000 0.000
0.000 5.511 0.000
0.000 0.000 4.902
Sr Ca Ge Rh
1 2 1 1
Cartesian
0.000 0.000 0.000
0.000 2.755 2.451
2.755 0.000 2.451
2.755 2.755 0.000
2.755 2.755 2.451
```

Space group = No. 123
E_tot = -3.867 eV per atom
Crystal system = tetragonal
Spin magnetization = 0.0000 μB/atom
Calculated volume = 149 Å³/cell
N(E_F) = 0.41 states/eV per atom
Calculated formation energy = -0.336 eV/atom

2.
## Li3DyU2S6 (PBE-GGA)

Data for a relaxed structure of Li3DyU2S6.

```
Li3DyU2S6
1.0
3.364 -5.827 0.000
3.364 5.827 0.000
-2.244 0.000 6.235
Li Dy U S
3 1 2 6
Cartesian
0.000 0.000 0.000
3.364 1.917 0.000
3.364 -1.917 0.000
2.242 0.000 3.118
2.242 3.884 3.118
2.242 -3.884 3.118
1.119 1.945 1.527
-0.003 0.000 4.712
1.119 -1.945 1.527
3.365 1.945 4.708
4.488 0.000 1.523
3.365 -1.945 4.708
```

Space group = No. 12
E_tot = -6.314 eV per atom
Crystal system = monoclinic
Spin magnetization = 0.4961 μB/atom
Raw formation energy = -34.758 kcal/mol of atoms
Calculated volume = 244 Å³/cell
N(E_F) = 0.65 states/eV per atom

3.
## NaCa4Hg (PBE-GGA)

Data for a relaxed structure of NaCa4Hg.

```
NaCa4Hg
1.0
7.987 0.000 0.000
0.000 7.650 0.000
-1.004 0.000 7.856
Na Ca Hg
2 8 2
Cartesian
0.000 0.000 0.000
-0.502 3.825 3.928
0.873 1.041 3.042
0.371 2.784 6.970
2.606 5.051 2.457
2.104 6.424 6.385
4.879 1.226 1.471
4.377 2.599 5.398
6.612 4.866 0.886
6.110 6.609 4.813
3.491 0.000 3.928
3.994 3.825 0.000
```

Space group = No. 14
E_tot = -1.619 eV per atom
Crystal system = monoclinic
Spin magnetization = 0.0000 μB/atom
Calculated volume = 480 Å³/cell
N(E_F) = 0.96 states/eV per atom
Calculated formation energy = -0.015 eV/atom

4.
## Th2TlPb5 (PBE-GGA)

Data for a relaxed structure of Th2TlPb5.

```
Th2TlPb5
1.0
6.860 0.000 0.000
0.000 13.710 0.000
0.000 0.000 4.987
Th Tl Pb
4 2 10
Cartesian
1.629 1.729 0.000
1.801 8.584 0.000
5.059 5.127 0.000
5.231 11.982 0.000
0.000 6.855 2.494
3.430 0.000 2.494
0.000 0.000 2.494
0.086 10.270 2.494
1.635 5.166 0.000
1.795 12.021 0.000
3.344 3.415 2.494
3.430 6.855 2.494
3.516 10.295 2.494
5.065 1.689 0.000
5.225 8.544 0.000
6.774 3.440 2.494
```

Space group = No. 55
E_tot = -4.693 eV per atom
Crystal system = orthorhombic
Spin magnetization = 0.0000 μB/atom
Calculated volume = 469 Å³/cell
N(E_F) = 0.66 states/eV per atom
Calculated formation energy = -0.224 eV/atom

5.
## CuTe3Rh (PBE-GGA)

Data for a relaxed structure of CuTe3Rh.

```
CuTe3Rh
1.0
5.196 0.000 0.000
0.000 5.196 0.000
0.000 0.000 5.196
Cu Te Rh
1 3 1
Cartesian
0.000 0.000 0.000
0.000 2.598 2.598
2.598 0.000 2.598
2.598 2.598 0.000
2.598 2.598 2.598
```

Space group = No. 221
E_tot = -3.539 eV per atom
Crystal system = cubic
Spin magnetization = 0.0000 μB/atom
Raw formation energy = 14.648 kcal/mol of atoms
Calculated volume = 140 Å³/cell
N(E_F) = 1.50 states/eV per atom

6.
## ZrCoOs2Pb (PBE-GGA)

Data for a relaxed structure of ZrCoOs2Pb.

```
ZrCoOs2Pb
1.0
4.893 0.000 0.000
0.000 4.893 0.000
0.000 0.000 5.234
Zr Co Os Pb
1 1 2 1
Cartesian
0.000 0.000 0.000
2.446 2.446 0.000
0.000 2.446 2.617
2.446 0.000 2.617
0.000 0.000 2.617
```

Space group = No. 123
E_tot = -5.552 eV per atom
Crystal system = tetragonal
Spin magnetization = 0.0700 μB/atom
Calculated volume = 125 Å³/cell
N(E_F) = 1.91 states/eV per atom
Calculated formation energy = 2.813 eV/atom